Record 1
The following is a DFT calculation (PBE) of a relaxed structure of HoIn4Sn.

## Properties
The formation enthalpy at 0 K is -55 meV per atom. Its space-group type is P4/mmm (123).

a = 4.498 Å, b = 4.498 Å, c = 8.804 Å
α = 90.00°, β = 90.00°, γ = 90.00°
Atoms (fractional coordinates):
Ho1 0.000 0.000 0.000
In1 0.000 0.500 0.258
In2 0.000 0.500 0.742
In3 0.500 0.000 0.258
In4 0.500 0.000 0.742
Sn1 0.500 0.500 0.500

=====

Record 2
The following is a DFT calculation (PBE) of a relaxed structure of MnCoSi4.

## Properties
Its space-group type is F-43m (216). The calculation puts the formation energy without anion corrections at 0.43 eV/atom.

a = 4.820 Å, b = 4.820 Å, c = 4.820 Å
α = 60.00°, β = 60.00°, γ = 60.00°
Atoms (fractional coordinates):
Mn1 0.000 0.000 0.000
Co1 0.250 0.250 0.250
Si1 0.126 0.625 0.625
Si2 0.625 0.126 0.625
Si3 0.625 0.625 0.126
Si4 0.625 0.625 0.625

=====

Record 3
The following is a DFT calculation (PBE) of a relaxed structure of ErLuPt2.

## Properties
The offset from the most stable computed form comes out at 0.003 eV per atom. The formation enthalpy at 0 K is -1287 meV per atom. Its space-group type is P4/mmm (123).

a = 4.881 Å, b = 4.881 Å, c = 3.426 Å
α = 90.00°, β = 90.00°, γ = 90.00°
Atoms (fractional coordinates):
Er1 0.000 0.000 0.000
Lu1 0.500 0.500 0.000
Pt1 0.000 0.500 0.500
Pt2 0.500 0.000 0.500

=====

Record 4
The following is a DFT calculation (PBE) of a relaxed structure of TlRePb.

## Properties
The offset from the most stable computed form comes out at 0.199 eV per atom. The formation enthalpy at 0 K is 1100 meV per atom. Its space-group type is F-43m (216).

a = 4.709 Å, b = 4.709 Å, c = 4.709 Å
α = 60.00°, β = 60.00°, γ = 60.00°
Atoms (fractional coordinates):
Tl1 0.000 0.000 0.000
Re1 0.750 0.750 0.750
Pb1 0.500 0.500 0.500

=====

Record 5
The following is a DFT calculation (PBE) of a relaxed structure of LaHfAgOs2.

## Properties
The formation enthalpy at 0 K is 1526 meV per atom. Its space-group type is P4/mmm (123).

a = 4.845 Å, b = 4.845 Å, c = 5.531 Å
α = 90.00°, β = 90.00°, γ = 90.00°
Atoms (fractional coordinates):
La1 0.000 0.000 0.000
Hf1 0.000 0.000 0.500
Ag1 0.500 0.500 0.000
Os1 0.000 0.500 0.500
Os2 0.500 0.000 0.500

=====

Record 6
The following is a DFT calculation (PBE) of a relaxed structure of RbHg6S8.

## Properties
Its space-group type is R-3 (148). The calculation puts the formation energy without anion corrections at -0.01 eV/atom.

a = 7.410 Å, b = 7.410 Å, c = 7.410 Å
α = 96.41°, β = 96.41°, γ = 96.41°
Atoms (fractional coordinates):
Rb1 0.000 0.000 0.000
Hg1 0.182 0.260 0.603
Hg2 0.260 0.603 0.182
Hg3 0.397 0.818 0.740
Hg4 0.603 0.182 0.260
Hg5 0.740 0.397 0.818
Hg6 0.818 0.740 0.397
S1 0.159 0.827 0.418
S2 0.173 0.582 0.841
S3 0.298 0.298 0.298
S4 0.418 0.159 0.827
S5 0.582 0.841 0.173
S6 0.702 0.702 0.702
S7 0.827 0.418 0.159
S8 0.841 0.173 0.582

=====

Record 7
The following is a DFT calculation (PBE) of a relaxed structure of PaB2P2.

## Properties
The formation enthalpy at 0 K is -131 meV per atom. Its space-group type is C2/m (12).

a = 4.121 Å, b = 4.121 Å, c = 4.440 Å
α = 102.10°, β = 102.10°, γ = 76.41°
Atoms (fractional coordinates):
Pa1 0.000 0.000 0.000
B1 0.401 0.401 0.283
B2 0.599 0.599 0.717
P1 0.307 0.307 0.674
P2 0.693 0.693 0.326

=====

Record 8
The following is a DFT calculation (PBE) of a relaxed structure of CaTlCl2.

## Properties
The offset from the most stable computed form comes out at 0.183 eV per atom. Its space-group type is Immm (71). The calculation puts the formation energy without anion corrections at -1.43 eV/atom.

a = 6.317 Å, b = 6.317 Å, c = 6.317 Å
α = 144.55°, β = 116.91°, γ = 74.50°
Atoms (fractional coordinates):
Ca1 0.000 0.000 0.000
Tl1 0.500 0.500 0.000
Cl1 0.184 0.684 0.500
Cl2 0.816 0.316 0.500

=====

Record 9
The following is a DFT calculation (PBE) of a relaxed structure of LaTb3Nd6.

## Properties
The formation enthalpy at 0 K is 136 meV per atom. Its space-group type is Cmc2_1 (36).

a = 11.161 Å, b = 11.161 Å, c = 6.394 Å
α = 90.00°, β = 90.00°, γ = 120.27°
Atoms (fractional coordinates):
La1 0.189 0.811 0.500
La2 0.811 0.189 0.000
Tb1 0.060 0.292 0.364
Tb2 0.292 0.060 0.864
Tb3 0.383 0.617 0.493
Tb4 0.617 0.383 0.993
Tb5 0.708 0.940 0.364
Tb6 0.940 0.708 0.864
Nd1 0.037 0.963 0.270
Nd2 0.055 0.472 0.778
Nd3 0.282 0.718 0.047
Nd4 0.293 0.373 0.952
Nd5 0.373 0.293 0.452
Nd6 0.472 0.055 0.278
Nd7 0.528 0.945 0.778
Nd8 0.627 0.707 0.952
Nd9 0.707 0.627 0.452
Nd10 0.718 0.282 0.547
Nd11 0.945 0.528 0.278
Nd12 0.963 0.037 0.770

=====

Record 10
The following is a DFT calculation (PBE) of a relaxed structure of YMn2P.

## Properties
The formation enthalpy at 0 K is -119 meV per atom. Its space-group type is Immm (71).

a = 5.507 Å, b = 5.507 Å, c = 5.507 Å
α = 146.15°, β = 129.54°, γ = 62.15°
Atoms (fractional coordinates):
Y1 0.000 0.000 0.000
Mn1 0.297 0.797 0.500
Mn2 0.703 0.203 0.500
P1 0.500 0.500 0.000

=====

Record 11
The following is a DFT calculation (PBE) of a relaxed structure of Ba2SrHg3.

## Properties
The formation enthalpy at 0 K is -524 meV per atom. Its space-group type is P4/mmm (123).

a = 4.154 Å, b = 4.154 Å, c = 12.353 Å
α = 90.00°, β = 90.00°, γ = 90.00°
Atoms (fractional coordinates):
Ba1 0.000 0.000 0.173
Ba2 0.000 0.000 0.827
Sr1 0.000 0.000 0.500
Hg1 0.500 0.500 0.000
Hg2 0.500 0.500 0.345
Hg3 0.500 0.500 0.655

=====

Record 12
The following is a DFT calculation (PBE) of a relaxed structure of Rb2MgZrPb.

## Properties
The formation enthalpy at 0 K is 1011 meV per atom. Its space-group type is P4/mmm (123).

a = 6.218 Å, b = 6.218 Å, c = 5.886 Å
α = 90.00°, β = 90.00°, γ = 90.00°
Atoms (fractional coordinates):
Rb1 0.000 0.500 0.000
Rb2 0.500 0.000 0.000
Mg1 0.000 0.000 0.000
Zr1 0.000 0.000 0.500
Pb1 0.500 0.500 0.500